Compound: CrTcPd3
Source: Alexandria
Functional: PBE
Structure: relaxed Values from VASP.

Structure (Quantum ESPRESSO input):
```
&SYSTEM
  ibrav = 0, nat = 5, ntyp = 3
/
ATOMIC_SPECIES
Cr 52.00 Cr.upf
Tc 98.00 Tc.upf
Pd 106.42 Pd.upf
ATOMIC_POSITIONS crystal
Cr 0.000 0.000 0.000
Tc 0.500 0.500 0.500
Pd 0.000 0.500 0.000
Pd 0.000 0.000 0.500
Pd 0.500 0.000 0.000
CELL_PARAMETERS angstrom
4.535 0.000 0.000
0.000 4.535 0.000
0.000 0.000 4.535
```

## Properties
space group	No. 221
ρ	8.35	g cm⁻³
ΔE to the lowest computed polymorph	0	meV/atom
final energy	-29.25	eV per cell
DOS at the Fermi energy	5.999	states/eV/f.u.